# 1
The following is a PBE calculation of a relaxed structure of KEuCd2, from the Alexandria database.

a b c (Å): 3.972 3.972 10.977
angles (deg): 79.58 79.58 60.00
Sites, in units of the cell vectors:
Eu 0.000 0.000 0.000
K 0.500 0.500 0.500
Cd 0.256 0.256 0.232
Cd 0.744 0.744 0.768

Computed properties:
The space group is No. 166. The total energy is -3.3102 eV per atom.

***

# 2
The following is a PBE calculation of a relaxed structure of KSrEuCd, from the Alexandria database.

a b c (Å): 6.120 6.120 6.120
angles (deg): 60.00 60.00 60.00
Sites, in units of the cell vectors:
Cd 0.000 0.000 0.000
Eu 0.750 0.750 0.750
K 0.500 0.500 0.500
Sr 0.250 0.250 0.250

Computed properties:
The space group is No. 216. The total energy is -3.4480 eV per atom.

***

# 3
The following is a PBE calculation of a relaxed structure of LaEuCd4, from the Alexandria database.

a b c (Å): 6.089 6.089 6.089
angles (deg): 60.00 60.00 60.00
Sites, in units of the cell vectors:
Cd 0.124 0.625 0.625
Eu 0.250 0.250 0.250
Cd 0.625 0.625 0.625
Cd 0.625 0.124 0.625
La 0.000 0.000 0.000
Cd 0.625 0.625 0.124

Computed properties:
The space group is No. 216. The total energy is -3.4633 eV per atom.

***

# 4
The following is a PBE calculation of a relaxed structure of LaEuMgCd, from the Alexandria database.

a b c (Å): 5.594 5.594 5.594
angles (deg): 60.00 60.00 60.00
Sites, in units of the cell vectors:
Eu 0.000 0.000 0.000
La 0.500 0.500 0.500
Cd 0.250 0.250 0.250
Mg 0.750 0.750 0.750

Computed properties:
The space group is No. 216. The total energy is -4.6396 eV per atom.

***

# 5
The following is a PBE calculation of a relaxed structure of LaEuCdPb, from the Alexandria database.

a b c (Å): 5.613 5.613 5.613
angles (deg): 60.00 60.00 60.00
Sites, in units of the cell vectors:
Cd 0.000 0.000 0.000
Pb 0.500 0.500 0.500
La 0.250 0.250 0.250
Eu 0.750 0.750 0.750

Computed properties:
The space group is No. 216. The total energy is -5.4392 eV per atom.

***

# 6
The following is a PBE calculation of a relaxed structure of LaEuCdPd, from the Alexandria database.

a b c (Å): 5.356 5.356 5.356
angles (deg): 60.00 60.00 60.00
Sites, in units of the cell vectors:
Cd 0.750 0.750 0.750
Eu 0.500 0.500 0.500
La 0.000 0.000 0.000
Pd 0.250 0.250 0.250

Computed properties:
The space group is No. 216. The total energy is -5.8066 eV per atom.

***

# 7
The following is a PBE calculation of a relaxed structure of LaEuCdPt, from the Alexandria database.

a b c (Å): 5.312 5.312 5.312
angles (deg): 60.00 60.00 60.00
Sites, in units of the cell vectors:
Cd 0.500 0.500 0.500
Pt 0.000 0.000 0.000
La 0.250 0.250 0.250
Eu 0.750 0.750 0.750

Computed properties:
The space group is No. 216. The total energy is -6.1714 eV per atom.

***

# 8
The following is a PBE calculation of a relaxed structure of LaEuCdRh, from the Alexandria database.

a b c (Å): 5.268 5.268 5.268
angles (deg): 60.00 60.00 60.00
Sites, in units of the cell vectors:
Rh 0.250 0.250 0.250
Cd 0.750 0.750 0.750
Eu 0.500 0.500 0.500
La 0.000 0.000 0.000

Computed properties:
The space group is No. 216. The total energy is -6.2423 eV per atom.

***

# 9
The following is a PBE calculation of a relaxed structure of LaEuCdRu, from the Alexandria database.

a b c (Å): 5.233 5.233 5.233
angles (deg): 60.00 60.00 60.00
Sites, in units of the cell vectors:
Ru 0.750 0.750 0.750
Cd 0.250 0.250 0.250
La 0.500 0.500 0.500
Eu 0.000 0.000 0.000

Computed properties:
The space group is No. 216. The total energy is -6.4330 eV per atom.

***

# 10
The following is a PBE calculation of a relaxed structure of LaEuCdSi, from the Alexandria database.

a b c (Å): 5.369 5.369 5.369
angles (deg): 60.00 60.00 60.00
Sites, in units of the cell vectors:
Eu 0.000 0.000 0.000
Si 0.750 0.750 0.750
La 0.500 0.500 0.500
Cd 0.250 0.250 0.250

Computed properties:
The space group is No. 216. For the formation energy from raw total energies, the calculation gives -386.1 meV/atom.

***

# 11
The following is a PBE calculation of a relaxed structure of LaEuCdSn, from the Alexandria database.

a b c (Å): 5.561 5.561 5.561
angles (deg): 60.00 60.00 60.00
Sites, in units of the cell vectors:
Cd 0.000 0.000 0.000
La 0.750 0.750 0.750
Eu 0.250 0.250 0.250
Sn 0.500 0.500 0.500

Computed properties:
The space group is No. 216. The total energy is -5.5926 eV per atom.

***

# 12
The following is a PBE calculation of a relaxed structure of LaTbEuCd, from the Alexandria database.

a b c (Å): 5.630 5.630 5.630
angles (deg): 60.00 60.00 60.00
Sites, in units of the cell vectors:
Tb 0.500 0.500 0.500
La 0.000 0.000 0.000
Eu 0.250 0.250 0.250
Cd 0.750 0.750 0.750

Computed properties:
The space group is No. 216. The total energy is -5.2189 eV per atom.

***

# 13
The following is a PBE calculation of a relaxed structure of LaEuYCd, from the Alexandria database.

a b c (Å): 5.634 5.634 5.634
angles (deg): 60.00 60.00 60.00
Sites, in units of the cell vectors:
La 0.500 0.500 0.500
Cd 0.750 0.750 0.750
Y 0.000 0.000 0.000
Eu 0.250 0.250 0.250

Computed properties:
The space group is No. 216. The total energy is -5.6819 eV per atom.

***

# 14
The following is a PBE calculation of a relaxed structure of LaEuZnCd, from the Alexandria database.

a b c (Å): 5.447 5.447 5.447
angles (deg): 60.00 60.00 60.00
Sites, in units of the cell vectors:
Eu 0.750 0.750 0.750
La 0.250 0.250 0.250
Zn 0.500 0.500 0.500
Cd 0.000 0.000 0.000

Computed properties:
The space group is No. 216. The total energy is -4.6524 eV per atom.

***

# 15
The following is a PBE calculation of a relaxed structure of Li2EuCd, from the Alexandria database.

a b c (Å): 4.917 4.686 4.686
angles (deg): 90.00 90.00 90.00
Sites, in units of the cell vectors:
Li 0.000 0.000 0.500
Eu 0.500 0.000 0.000
Li 0.000 0.500 0.000
Cd 0.500 0.500 0.500

Computed properties:
The space group is No. 123. The total energy is -3.7902 eV per atom.

***

# 16
The following is a PBE calculation of a relaxed structure of Li4EuCd, from the Alexandria database.

a b c (Å): 5.732 5.732 5.732
angles (deg): 60.00 60.00 60.00
Sites, in units of the cell vectors:
Li 0.627 0.118 0.627
Cd 0.000 0.000 0.000
Li 0.118 0.627 0.627
Li 0.627 0.627 0.118
Li 0.627 0.627 0.627
Eu 0.250 0.250 0.250

Computed properties:
The space group is No. 216. The total energy is -3.2106 eV per atom.

***

# 17
The following is a PBE calculation of a relaxed structure of Li2EuCd, from the Alexandria database.

a b c (Å): 3.654 3.654 7.372
angles (deg): 90.00 90.00 90.00
Sites, in units of the cell vectors:
Cd 0.500 0.500 0.000
Li 0.000 0.000 0.815
Eu 0.500 0.500 0.500
Li 0.000 0.000 0.185

Computed properties:
The space group is No. 123. The total energy is -3.8518 eV per atom.

***

# 18
The following is a PBE calculation of a relaxed structure of Li2EuCd, from the Alexandria database.

a b c (Å): 5.138 5.138 5.138
angles (deg): 60.00 60.00 60.00
Sites, in units of the cell vectors:
Li 0.250 0.250 0.250
Li 0.750 0.750 0.750
Cd 0.000 0.000 0.000
Eu 0.500 0.500 0.500

Computed properties:
The space group is No. 225. The total energy is -3.8571 eV per atom.

***

# 19
The following is a PBE calculation of a relaxed structure of LiEuLuCd, from the Alexandria database.

a b c (Å): 5.356 5.356 5.356
angles (deg): 60.00 60.00 60.00
Sites, in units of the cell vectors:
Eu 0.500 0.500 0.500
Li 0.250 0.250 0.250
Lu 0.000 0.000 0.000
Cd 0.750 0.750 0.750

Computed properties:
The space group is No. 216. The total energy is -4.4937 eV per atom.

***

# 20
The following is a PBE calculation of a relaxed structure of LiEuMgCd, from the Alexandria database.

a b c (Å): 5.243 5.243 5.243
angles (deg): 60.00 60.00 60.00
Sites, in units of the cell vectors:
Li 0.750 0.750 0.750
Cd 0.250 0.250 0.250
Eu 0.500 0.500 0.500
Mg 0.000 0.000 0.000

Computed properties:
The space group is No. 216. The total energy is -3.8328 eV per atom.

***

# 21
The following is a PBE calculation of a relaxed structure of LiPmEuCd, from the Alexandria database.

a b c (Å): 5.479 5.479 5.479
angles (deg): 60.00 60.00 60.00
Sites, in units of the cell vectors:
Li 0.250 0.250 0.250
Cd 0.750 0.750 0.750
Pm 0.000 0.000 0.000
Eu 0.500 0.500 0.500

Computed properties:
The space group is No. 216. The total energy is -4.5809 eV per atom.

***

# 22
The following is a PBE calculation of a relaxed structure of LiPrEuCd, from the Alexandria database.

a b c (Å): 5.519 5.519 5.519
angles (deg): 60.00 60.00 60.00
Sites, in units of the cell vectors:
Cd 0.750 0.750 0.750
Pr 0.000 0.000 0.000
Eu 0.500 0.500 0.500
Li 0.250 0.250 0.250

Computed properties:
The space group is No. 216. The total energy is -4.5962 eV per atom.

***

# 23
The following is a PBE calculation of a relaxed structure of LiEuScCd, from the Alexandria database.

a b c (Å): 5.264 5.264 5.264
angles (deg): 60.00 60.00 60.00
Sites, in units of the cell vectors:
Eu 0.500 0.500 0.500
Cd 0.750 0.750 0.750
Li 0.250 0.250 0.250
Sc 0.000 0.000 0.000

Computed properties:
The space group is No. 216. The total energy is -4.9069 eV per atom.

***

# 24
The following is a PBE calculation of a relaxed structure of LiSmEuCd, from the Alexandria database.

a b c (Å): 5.464 5.464 5.464
angles (deg): 60.00 60.00 60.00
Sites, in units of the cell vectors:
Sm 0.500 0.500 0.500
Li 0.250 0.250 0.250
Eu 0.000 0.000 0.000
Cd 0.750 0.750 0.750

Computed properties:
The space group is No. 216. The total energy is -4.5698 eV per atom.

***

# 25
The following is a PBE calculation of a relaxed structure of EuLu2Cd, from the Alexandria database.

a b c (Å): 5.434 5.434 5.434
angles (deg): 60.00 60.00 60.00
Sites, in units of the cell vectors:
Lu 0.250 0.250 0.250
Cd 0.000 0.000 0.000
Lu 0.750 0.750 0.750
Eu 0.500 0.500 0.500

Computed properties:
The space group is No. 225. The total energy is -5.0188 eV per atom.

***

# 26
The following is a PBE calculation of a relaxed structure of EuLu2Cd, from the Alexandria database.

a b c (Å): 3.556 3.556 9.375
angles (deg): 90.00 90.00 90.00
Sites, in units of the cell vectors:
Lu 0.000 0.000 0.789
Eu 0.500 0.500 0.500
Cd 0.500 0.500 0.000
Lu 0.000 0.000 0.211

Computed properties:
The space group is No. 123. The total energy is -5.1248 eV per atom.

***

# 27
The following is a PBE calculation of a relaxed structure of EuLuCd, from the Alexandria database.

a b c (Å): 3.738 3.738 7.014
angles (deg): 105.46 105.46 90.00
Sites, in units of the cell vectors:
Lu 0.308 0.308 0.616
Eu 0.013 0.013 0.025
Cd 0.679 0.679 0.359

Computed properties:
The space group is No. 107. The total energy is -5.3833 eV per atom.

***

# 28
The following is a PBE calculation of a relaxed structure of EuLuCd2, from the Alexandria database.

a b c (Å): 3.777 3.777 7.690
angles (deg): 90.00 90.00 90.00
Sites, in units of the cell vectors:
Cd 0.000 0.000 0.222
Cd 0.000 0.000 0.778
Eu 0.500 0.500 0.500
Lu 0.500 0.500 0.000

Computed properties:
The space group is No. 123. The total energy is -4.4717 eV per atom.

***

# 29
The following is a PBE calculation of a relaxed structure of EuLu2Cd, from the Alexandria database.

a b c (Å): 4.858 4.866 4.866
angles (deg): 90.00 90.00 90.00
Sites, in units of the cell vectors:
Lu 0.000 0.000 0.500
Eu 0.500 0.500 0.500
Cd 0.500 0.000 0.000
Lu 0.000 0.500 0.000

Computed properties:
The space group is No. 123. The total energy is -5.0792 eV per atom.

***

# 30
The following is a PBE calculation of a relaxed structure of EuLuCd2, from the Alexandria database.

a b c (Å): 5.366 5.366 5.366
angles (deg): 60.00 60.00 60.00
Sites, in units of the cell vectors:
Eu 0.000 0.000 0.000
Cd 0.750 0.750 0.750
Cd 0.250 0.250 0.250
Lu 0.500 0.500 0.500

Computed properties:
The space group is No. 225. The total energy is -4.4424 eV per atom.

***

# 31
The following is a PBE calculation of a relaxed structure of EuLu2Cd, from the Alexandria database.

a b c (Å): 3.478 3.478 11.932
angles (deg): 81.62 81.62 60.00
Sites, in units of the cell vectors:
Eu 0.000 0.000 0.000
Lu 0.903 0.903 0.291
Cd 0.500 0.500 0.500
Lu 0.097 0.097 0.709

Computed properties:
The space group is No. 166. The total energy is -4.9276 eV per atom.